Here is LiPdBr after structural relaxation from the Alexandria database. Energies are from PBE.

Unit cell a=28.675 b=9.740 c=9.740 alpha=158.13 beta=167.18 gamma=12.82
Sites, in units of the cell vectors:
Pd (0.442, 0.324, 0.676)
Pd (0.746, 0.290, 0.710)
Br (0.695, 0.208, 0.792)
Br (0.317, 0.107, 0.893)
Li (0.973, 0.201, 0.799)
Li (0.371, 0.272, 0.728)

Properties
Space group   Cm
Uncorrected energy   -0.129 Ha/atom